[1]
{
  "formula": "MgPaTaN4",
  "functional": "GGA-PBE",
  "state": "optimized geometry",
  "lattice": [[6.271, 0.000, 0.000], [3.135, 5.778, -0.078], [3.135, 1.686, 5.527]],
  "species": ["Ta", "Ta", "Pa", "Pa", "N", "N", "N", "N", "N", "N", "N", "N", "Mg", "Mg"],
  "fractional_positions": [[0.500, 0.000, 0.500], [0.000, 0.000, 0.500], [0.000, 0.500, 0.500], [0.000, 0.000, 0.000], [0.747, 0.772, 0.272], [0.253, 0.228, 0.728], [0.244, 0.797, 0.715], [0.209, 0.772, 0.272], [0.791, 0.228, 0.728], [0.756, 0.203, 0.285], [0.756, 0.785, 0.703], [0.244, 0.215, 0.297], [0.620, 0.630, 0.130], [0.380, 0.370, 0.870]],
  "e_tot_ev_per_atom": -9.231,
  "spacegroup": "No. 74",
  "raw_formation_energy_mev_per_atom": -1196,
  "mass_density_g_cm3": 8.13,
  "magmom_total_mub_per_cell": 0.0
}


[2]
{
  "formula": "V12GaGe2S24",
  "functional": "GGA-PBE",
  "state": "optimized geometry",
  "lattice": [[11.883, -0.001, 0.004], [5.939, 10.293, -0.004], [-7.922, -6.859, 5.605]],
  "species": ["S", "S", "S", "S", "S", "S", "S", "S", "S", "S", "S", "S", "S", "S", "S", "S", "S", "S", "S", "S", "S", "S", "S", "S", "V", "V", "V", "V", "V", "V", "V", "V", "V", "V", "V", "V", "Ge", "Ge", "Ga"],
  "fractional_positions": [[0.295, 0.925, 0.888], [0.105, 0.243, 0.863], [0.964, 0.593, 0.888], [0.790, 0.420, 0.370], [0.771, 0.908, 0.862], [0.620, 0.757, 0.863], [0.964, 0.075, 0.371], [0.954, 0.092, 0.862], [0.295, 0.407, 0.371], [0.803, 0.394, 0.863], [0.950, 0.580, 0.370], [0.618, 0.248, 0.370], [0.469, 0.060, 0.863], [0.803, 0.940, 0.409], [0.629, 0.741, 0.370], [0.138, 0.274, 0.412], [0.629, 0.259, 0.889], [0.469, 0.606, 0.409], [0.441, 0.576, 0.865], [0.285, 0.913, 0.371], [0.138, 0.726, 0.864], [0.122, 0.752, 0.370], [0.289, 0.424, 0.865], [0.458, 0.087, 0.371], [0.868, 0.265, 0.603], [0.062, 0.457, 0.187], [0.674, 0.069, 0.605], [0.730, 0.543, 0.605], [0.201, 0.596, 0.604], [0.062, 0.875, 0.605], [0.730, 0.125, 0.187], [0.395, 0.208, 0.603], [0.339, 0.735, 0.603], [0.536, 0.931, 0.605], [0.008, 0.404, 0.604], [0.395, 0.792, 0.188], [0.333, 0.333, 0.000], [0.667, 0.667, 0.000], [0.000, 0.000, 0.000]],
  "e_tot_ev_per_atom": -6.526,
  "spacegroup": "No. 44",
  "raw_formation_energy_mev_per_atom": -866,
  "mass_density_g_cm3": 3.87,
  "magmom_total_mub_per_cell": 13.4,
  "n_ef_per_ev_cell": 15.838
}


[3]
{
  "formula": "Na2Hg2HPd4",
  "functional": "GGA-PBE",
  "state": "optimized geometry",
  "lattice": [[5.856, -0.005, -0.008], [-2.816, 5.135, 0.008], [-2.816, -1.797, 4.810]],
  "species": ["H", "Na", "Na", "Pd", "Pd", "Pd", "Pd", "Hg", "Hg"],
  "fractional_positions": [[0.000, 0.000, 0.000], [0.000, 0.275, 0.275], [0.000, 0.725, 0.725], [0.527, 0.763, 0.763], [0.000, 0.763, 0.237], [0.000, 0.237, 0.763], [0.473, 0.237, 0.237], [0.500, 0.750, 0.250], [0.500, 0.250, 0.750]],
  "e_tot_ev_per_atom": -3.243,
  "spacegroup": "No. 139",
  "mass_density_g_cm3": 10.04,
  "magmom_total_mub_per_cell": 0.0,
  "n_ef_per_ev_cell": 2.101
}


[4]
{
  "formula": "PmPrDy2Ho",
  "functional": "GGA-PBE",
  "state": "optimized geometry",
  "lattice": [[7.178, 0.000, 0.000], [0.000, 8.443, 0.000], [0.000, -4.221, 5.796]],
  "species": ["Dy", "Dy", "Dy", "Dy", "Pr", "Pr", "Pm", "Pm", "Ho", "Ho"],
  "fractional_positions": [[0.000, 0.687, 0.000], [0.500, 0.313, 0.000], [0.000, 0.313, 0.000], [0.500, 0.687, 0.000], [0.250, 0.730, 0.461], [0.750, 0.270, 0.539], [0.750, 0.001, 0.001], [0.250, 0.999, 0.999], [0.250, 0.278, 0.556], [0.750, 0.722, 0.444]],
  "formation_enthalpy_0k_ev_per_atom": 0.38,
  "e_tot_ev_per_atom": -4.282,
  "spacegroup": "No. 63",
  "mass_density_g_cm3": 7.34,
  "magmom_total_mub_per_cell": 0.0,
  "n_ef_per_ev_cell": 16.845
}


[5]
{
  "formula": "Ho2Tl3GeSe6",
  "functional": "GGA-PBE",
  "state": "optimized geometry",
  "lattice": [[-3.339, -2.350, 0.492], [2.886, -2.389, 8.170], [-3.816, 9.123, 0.499]],
  "species": ["Tl", "Tl", "Tl", "Se", "Se", "Se", "Se", "Se", "Se", "Ho", "Ho", "Ge"],
  "fractional_positions": [[0.500, 0.500, 0.000], [0.168, 0.841, 0.336], [0.832, 0.159, 0.664], [0.347, 0.893, 0.694], [0.992, 0.780, 0.984], [0.323, 0.437, 0.646], [0.008, 0.220, 0.016], [0.653, 0.107, 0.306], [0.677, 0.563, 0.354], [0.165, 0.334, 0.331], [0.835, 0.666, 0.669], [0.500, 0.000, 0.000]],
  "e_tot_ev_per_atom": -4.467,
  "spacegroup": "No. 12",
  "raw_formation_energy_mev_per_atom": -986,
  "mass_density_g_cm3": 7.32,
  "magmom_total_mub_per_cell": 0.0,
  "n_ef_per_ev_cell": 4.850
}


[6]
{
  "formula": "K4Pr3HfTe8",
  "functional": "GGA-PBE",
  "state": "optimized geometry",
  "lattice": [[9.046, 0.000, 0.000], [0.000, 9.795, 0.519], [-4.523, -4.520, 6.399]],
  "species": ["Te", "Te", "Te", "Te", "Te", "Te", "Te", "Te", "Pr", "Pr", "Pr", "Hf", "K", "K", "K", "K"],
  "fractional_positions": [[0.224, 0.709, 0.984], [0.776, 0.291, 0.551], [0.224, 0.709, 0.449], [0.760, 0.709, 0.984], [0.741, 0.722, 0.481], [0.259, 0.278, 0.519], [0.240, 0.291, 0.016], [0.776, 0.291, 0.016], [0.500, 0.500, 0.500], [0.000, 0.500, 0.500], [0.500, 0.500, 0.000], [0.000, 0.500, 0.000], [0.500, 0.000, 0.500], [0.000, 0.000, 0.000], [0.500, 0.000, 0.000], [0.000, 0.000, 0.500]],
  "e_tot_ev_per_atom": -4.625,
  "spacegroup": "No. 166",
  "raw_formation_energy_mev_per_atom": -1262,
  "mass_density_g_cm3": 5.02,
  "magmom_total_mub_per_cell": 0.0,
  "n_ef_per_ev_cell": 4.493
}